Compound: KMgZn2
Source: Alexandria
Functional: PBE-GGA
Structure: optimized geometry

Calculated values
- calculated formation energy (eV/atom) = 0.2419
- calculated density (g/cm3) = 3.263

Cell lengths 5.572, 5.572, 3.183 Å; angles 90.00, 90.00, 90.00 degrees
Atoms (fractional coordinates):
K (0.500, 0.000, 0.500)
Mg (0.000, 0.500, 0.500)
Zn (0.000, 0.000, 0.000)
Zn (0.500, 0.500, 0.000)